Here is Er4CoPd after structural relaxation from Alexandria. Energies are from PBE.

Calculated values
M_tot in μB/f.u.: 0.00
D(E_F) in states/eV/cell: 14.6
Relative energy among the computed polymorphs in eV per formula unit: 0.00
Energy of formation in eV/atom: -0.3990

abc: 7.828 7.828 6.049
angles: 107.18 107.18 112.24
Fractional positions:
Er (0.054, 0.701, 0.905)
Er (0.227, 0.352, 0.713)
Er (0.299, 0.946, 0.595)
Er (0.352, 0.227, 0.213)
Er (0.648, 0.773, 0.787)
Er (0.701, 0.054, 0.405)
Er (0.773, 0.648, 0.287)
Er (0.946, 0.299, 0.095)
Co (0.002, 0.998, 0.250)
Co (0.998, 0.002, 0.750)
Pd (0.364, 0.636, 0.250)
Pd (0.636, 0.364, 0.750)

---

Here is ScZn after structural relaxation from Alexandria. Energies are from PBE.

Calculated values
M_tot in μB/f.u.: 0.00
D(E_F) in states/eV/cell: 8.2
Energy of formation in eV/atom: -0.3038

abc: 6.274 4.369 5.659
angles: 90.00 90.00 90.00
Fractional positions:
Sc (0.161, 0.250, 0.134)
Sc (0.339, 0.750, 0.634)
Sc (0.661, 0.250, 0.366)
Sc (0.839, 0.750, 0.866)
Zn (0.051, 0.250, 0.635)
Zn (0.449, 0.750, 0.135)
Zn (0.551, 0.250, 0.865)
Zn (0.949, 0.750, 0.365)

---

Here is CaPm12Rh6 after structural relaxation from Alexandria. Energies are from PBE.

Calculated values
M_tot in μB/f.u.: 0.00
D(E_F) in states/eV/cell: 14.7
Relative energy among the computed polymorphs in eV per formula unit: 0.56
Energy of formation in eV/atom: -0.4205

abc: 8.606 8.606 8.606
angles: 105.17 105.17 105.17
Fractional positions:
Ca (0.000, 0.000, 0.000)
Pm (0.123, 0.500, 0.877)
Pm (0.123, 0.877, 0.500)
Pm (0.183, 0.445, 0.445)
Pm (0.445, 0.183, 0.445)
Pm (0.445, 0.445, 0.183)
Pm (0.500, 0.123, 0.877)
Pm (0.500, 0.877, 0.123)
Pm (0.555, 0.555, 0.817)
Pm (0.555, 0.817, 0.555)
Pm (0.817, 0.555, 0.555)
Pm (0.877, 0.123, 0.500)
Pm (0.877, 0.500, 0.123)
Rh (0.256, 0.256, 0.692)
Rh (0.256, 0.692, 0.256)
Rh (0.308, 0.744, 0.744)
Rh (0.692, 0.256, 0.256)
Rh (0.744, 0.308, 0.744)
Rh (0.744, 0.744, 0.308)

---

Here is CeBeNi6B after structural relaxation from Alexandria. Energies are from PBE.

Calculated values
M_tot in μB/f.u.: 0.00
D(E_F) in states/eV/cell: 10.2
Energy of formation in eV/atom: -0.0781

abc: 7.092 7.092 7.092
angles: 135.94 109.35 87.14
Fractional positions:
Ce (0.410, 0.160, 0.250)
Ce (0.590, 0.840, 0.750)
Be (0.000, 0.000, 0.500)
Be (0.000, 0.500, 0.000)
Ni (0.113, 0.383, 0.234)
Ni (0.113, 0.879, 0.730)
Ni (0.167, 0.917, 0.250)
Ni (0.276, 0.526, 0.750)
Ni (0.351, 0.121, 0.734)
Ni (0.351, 0.617, 0.230)
Ni (0.649, 0.383, 0.770)
Ni (0.649, 0.879, 0.266)
Ni (0.724, 0.474, 0.250)
Ni (0.833, 0.083, 0.750)
Ni (0.887, 0.121, 0.270)
Ni (0.887, 0.617, 0.766)
B (0.000, 0.500, 0.500)
B (0.500, 0.500, 0.000)

---

Here is PrSm4Pd4 after structural relaxation from Alexandria. Energies are from PBE.

Calculated values
M_tot in μB/f.u.: 0.00
D(E_F) in states/eV/cell: 15.6
Energy of formation in eV/atom: -0.6078

abc: 9.177 9.177 5.924
angles: 90.00 90.00 90.00
Fractional positions:
Pr (0.250, 0.250, 0.250)
Pr (0.750, 0.750, 0.750)
Sm (0.070, 0.656, 0.163)
Sm (0.156, 0.930, 0.663)
Sm (0.344, 0.570, 0.663)
Sm (0.430, 0.844, 0.163)
Sm (0.570, 0.156, 0.837)
Sm (0.656, 0.430, 0.337)
Sm (0.844, 0.070, 0.337)
Sm (0.930, 0.344, 0.837)
Pd (0.037, 0.625, 0.658)
Pd (0.125, 0.963, 0.158)
Pd (0.375, 0.537, 0.158)
Pd (0.463, 0.875, 0.658)
Pd (0.537, 0.125, 0.342)
Pd (0.625, 0.463, 0.842)
Pd (0.875, 0.037, 0.842)
Pd (0.963, 0.375, 0.342)

---

Here is PmSmEr after structural relaxation from Alexandria. Energies are from PBE.

Calculated values
M_tot in μB/f.u.: 0.00
D(E_F) in states/eV/cell: 4.5
Relative energy among the computed polymorphs in eV per formula unit: 0.15
Energy of formation in eV/atom: 0.0671

abc: 5.689 5.689 3.497
angles: 90.00 90.00 120.00
Fractional positions:
Pm (0.000, 0.000, 0.000)
Sm (0.667, 0.333, 0.500)
Er (0.333, 0.667, 0.000)

---

Here is Na2YOs2 after structural relaxation from Alexandria. Energies are from PBE.

Calculated values
M_tot in μB/f.u.: 1.22
D(E_F) in states/eV/cell: 5.9
Relative energy among the computed polymorphs in eV per formula unit: 0.00
Energy of formation in eV/atom: 0.7745

abc: 7.610 7.610 7.610
angles: 149.29 149.29 43.98
Fractional positions:
Na (0.250, 0.750, 0.500)
Na (0.750, 0.250, 0.500)
Y (0.000, 0.000, 0.000)
Os (0.420, 0.420, 0.000)
Os (0.580, 0.580, 0.000)

---

Here is YZrZn2 after structural relaxation from Alexandria. Energies are from PBE.

Calculated values
M_tot in μB/f.u.: 2.65
D(E_F) in states/eV/cell: 3.7
Energy of formation in eV/atom: 0.2333

abc: 4.929 4.929 4.929
angles: 60.00 60.00 60.00
Fractional positions:
Y (0.000, 0.000, 0.000)
Zr (0.250, 0.250, 0.250)
Zn (0.500, 0.500, 0.500)
Zn (0.750, 0.750, 0.750)

---

Here is NdScSb2 after structural relaxation from Alexandria. Energies are from PBE.

Calculated values
M_tot in μB/f.u.: 0.00
Energy relative to the elements, uncorrected in meV per atom: -927.4
D(E_F) in states/eV/cell: 0.5
Relative energy among the computed polymorphs in eV per formula unit: 0.48

abc: 7.761 7.761 7.761
angles: 32.40 32.40 32.40
Fractional positions:
Nd (0.000, 0.000, 0.000)
Sc (0.829, 0.829, 0.829)
Sb (0.420, 0.420, 0.420)
Sb (0.575, 0.575, 0.575)

---

Here is EuSbPdRh after structural relaxation from Alexandria. Energies are from PBE.

Calculated values
M_tot in μB/f.u.: 6.77
Energy relative to the elements, uncorrected in meV per atom: -520.3
D(E_F) in states/eV/cell: 11.9

abc: 4.823 4.823 4.823
angles: 60.00 60.00 60.00
Fractional positions:
Eu (0.000, 0.000, 0.000)
Sb (0.500, 0.500, 0.500)
Pd (0.750, 0.750, 0.750)
Rh (0.250, 0.250, 0.250)

---

Here is Ac2HoGePd6 after structural relaxation from Alexandria. Energies are from PBE.

Calculated values
M_tot in μB/f.u.: 0.00
D(E_F) in states/eV/cell: 5.3
Energy of formation in eV/atom: -0.6540

abc: 6.630 6.630 8.834
angles: 126.12 126.12 52.05
Fractional positions:
Ac (0.237, 0.237, 0.266)
Ac (0.763, 0.763, 0.734)
Ho (0.000, 0.000, 0.500)
Ge (0.500, 0.500, 0.000)
Pd (0.251, 0.251, 0.905)
Pd (0.259, 0.738, 0.757)
Pd (0.262, 0.741, 0.243)
Pd (0.738, 0.259, 0.757)
Pd (0.741, 0.262, 0.243)
Pd (0.749, 0.749, 0.095)

---

Here is Ta2BeCu after structural relaxation from Alexandria. Energies are from PBE.

Calculated values
M_tot in μB/f.u.: 0.00
D(E_F) in states/eV/cell: 3.6
Energy of formation in eV/atom: 0.0968

abc: 3.970 3.970 3.674
angles: 90.00 90.00 90.00
Fractional positions:
Ta (0.000, 0.500, 0.000)
Ta (0.500, 0.000, 0.000)
Be (0.000, 0.000, 0.500)
Cu (0.500, 0.500, 0.500)